Entry 1:
DFT (PBE) results for an optimized crystal structure of CaIr2Pt.

a b c (Å): 4.5856 4.5856 4.5856
angles (deg): 60.00 60.00 60.00
Closest atoms and distances in Å follow each position.
Positions (direct):
Ca 0.0000 0.0000 0.0000  8 Ir 2.81
Ir 0.2500 0.2500 0.2500  4 Pt 2.81, 4 Ca 2.81
Ir 0.7500 0.7500 0.7500  4 Pt 2.81, 4 Ca 2.81
Pt 0.5000 0.5000 0.5000  8 Ir 2.81

- N(E_F): 2.2189 states/eV/atom
- Energy relative to the lowest polymorph listed for this composition: 397.4 meV/atom
- Space group: No. 225
- DFT formation energy: 0.269 eV per atom

Entry 2:
DFT (PBE) results for an optimized crystal structure of SmLuBeGa.

a b c (Å): 4.9459 4.9459 4.9459
angles (deg): 60.00 60.00 60.00
Closest atoms and distances in Å follow each position.
Positions (direct):
Be 0.7500 0.7500 0.7500  4 Sm 3.03, 4 Lu 3.03
Lu 0.0000 0.0000 0.0000  4 Be 3.03, 4 Ga 3.03
Ga 0.2500 0.2500 0.2500  4 Sm 3.03, 4 Lu 3.03
Sm 0.5000 0.5000 0.5000  4 Be 3.03, 4 Ga 3.03

- N(E_F): 0.7848 states/eV/atom
- Space group: No. 216
- DFT formation energy: -0.214 eV per atom

Question: The highest DFT formation energy belongs to which entry?
Answer: CaIr2Pt

Question: Which value of N(E_F) does entry 1 give?
Answer: 2.2189 states/eV/atom

Please write out number 1 again, unchanged.
DFT (PBE) results for an optimized crystal structure of CaIr2Pt.

a b c (Å): 4.5856 4.5856 4.5856
angles (deg): 60.00 60.00 60.00
Closest atoms and distances in Å follow each position.
Positions (direct):
Ca 0.0000 0.0000 0.0000  8 Ir 2.81
Ir 0.2500 0.2500 0.2500  4 Pt 2.81, 4 Ca 2.81
Ir 0.7500 0.7500 0.7500  4 Pt 2.81, 4 Ca 2.81
Pt 0.5000 0.5000 0.5000  8 Ir 2.81

- N(E_F): 2.2189 states/eV/atom
- Energy relative to the lowest polymorph listed for this composition: 397.4 meV/atom
- Space group: No. 225
- DFT formation energy: 0.269 eV per atom